Y2PbCl: relaxed, PBEsol.

Properties
* electronic total energy: -23.81 eV per formula unit
* mass density: 6.58 g cm⁻³
* formation energy (no corrections): -1.04 eV/atom

abc: 5.2464 5.2464 3.8573
angles: 90.00 90.00 90.00
Last column: nearest neighbours and their distance in Å.
Space group P4mm (No. 99)
Inequivalent atoms, fractional coordinates:
Y1 0.0000 0.5000 0.0000 x2  2 Cl 2.62
Pb1 0.0000 0.0000 0.5005 x1  8 Y 3.25-3.26
Cl1 0.5000 0.5000 0.0023 x1  4 Y 2.62



YPbCl: relaxed, PBEsol.

Properties
* electronic total energy: -13.95 eV per formula unit
* mass density: 6.29 g cm⁻³
* formation energy (no corrections): -0.37 eV/atom

abc: 7.0490 7.0490 7.0490
angles: 90.00 90.00 90.00
Last column: nearest neighbours and their distance in Å.
Space group F-43m (No. 216)
Inequivalent atoms, fractional coordinates:
Y1 0.0000 0.0000 0.0000 x4  4 Pb 3.05, 4 Cl 3.05
Pb1 0.2500 0.2500 0.7500 x4  4 Y 3.05
Cl1 0.2500 0.2500 0.2500 x4  4 Y 3.05



Y2PbCl2: relaxed, PBEsol.

Properties
* electronic total energy: -28.24 eV per formula unit
* mass density: 6.19 g cm⁻³
* formation energy (no corrections): -1.32 eV/atom

abc: 4.1813 4.1813 13.9957
angles: 90.00 90.00 90.00
Last column: nearest neighbours and their distance in Å.
Space group I4/mmm (No. 139)
Inequivalent atoms, fractional coordinates:
Y1 0.0000 0.0000 0.1209 x4  4 Cl 2.76
Pb1 0.0000 0.0000 0.5000 x2  8 Y 3.41
Cl1 0.0000 0.5000 0.2500 x4  4 Y 2.76, 4 Cl 2.96



Zn2PbCl: relaxed, PBEsol.

Properties
* electronic total energy: -8.52 eV per formula unit
* mass density: 7.25 g cm⁻³
* formation energy (no corrections): 0.16 eV/atom

abc: 6.9952 6.9952 6.9952
angles: 90.00 90.00 90.00
Last column: nearest neighbours and their distance in Å.
Space group Fm-3m (No. 225)
Inequivalent atoms, fractional coordinates:
Zn1 0.2500 0.2500 0.2500 x8  4 Cl 3.03, 4 Pb 3.03
Pb1 0.0000 0.0000 0.0000 x4  8 Zn 3.03
Cl1 0.0000 0.0000 0.5000 x4  8 Zn 3.03



ZnPb2Cl: relaxed, PBEsol.

Properties
* electronic total energy: -12.05 eV per formula unit
* mass density: 8.55 g cm⁻³
* formation energy (no corrections): -0.12 eV/atom

abc: 10.2388 3.4838 5.7170
angles: 90.00 101.16 90.00
Last column: nearest neighbours and their distance in Å.
Space group C2/m (No. 12)
Inequivalent atoms, fractional coordinates:
Zn1 0.0000 0.0000 0.0000 x2  4 Pb 3.00, 4 Cl 3.35
Pb1 0.2232 0.5000 0.2444 x4  1 Cl 2.94, 2 Zn 3.00
Cl1 0.0000 0.5000 0.5000 x2  2 Pb 2.94



ZnPbCl: relaxed, PBEsol.

Properties
* electronic total energy: -8.41 eV per formula unit
* mass density: 6.97 g cm⁻³
* formation energy (no corrections): -0.27 eV/atom

abc: 3.4048 6.0502 14.2430
angles: 90.00 90.00 90.00
Last column: nearest neighbours and their distance in Å.
Space group Fmm2 (No. 42)
Inequivalent atoms, fractional coordinates:
Zn1 0.0000 0.0000 0.0000 x4  2 Cl 2.36
Pb1 0.0000 0.0000 0.6653 x4  2 Zn 2.91
Cl1 0.0000 0.0000 0.3855 x4  2 Zn 2.36